The following is a PBE-GGA calculation of a relaxed structure of Ce2Be2Pt3, from the Alexandria database.

Summary:
**Total moment**: 0.07 μB per atom
**Energy of formation from the pure elements**: -0.851 eV/atom
**E_tot**: -6.200 eV per atom
**Density of states at the Fermi level**: 1.32 states/eV per atom
**SG**: No. 63

abc: 3.991 6.984 9.376
angles: 90.00 102.29 90.00
Fractional coordinates of all 14 atoms:
Pt (0.427, 0.544, 0.853)
Pt (0.776, 0.250, 0.552)
Pt (0.427, 0.956, 0.853)
Pt (0.573, 0.044, 0.147)
Pt (0.224, 0.750, 0.448)
Pt (0.573, 0.456, 0.147)
Be (0.304, 0.433, 0.608)
Be (0.304, 0.067, 0.608)
Be (0.696, 0.933, 0.392)
Be (0.696, 0.567, 0.392)
Ce (0.159, 0.250, 0.318)
Ce (0.936, 0.250, 0.872)
Ce (0.064, 0.750, 0.128)
Ce (0.841, 0.750, 0.682)